# InGaCoP2

A relaxed InGaCoP2 crystal (PBE, Alexandria).

abc: 4.6959 5.1759 4.6959
angles: 90.00 90.00 90.00
Site moments in Bohr magnetons follow the coordinates.
Fractional positions:
1 Co 0.5000 0.5000 0.5000  2.08
2 P 0.0000 0.0000 0.5000  0.01
3 Ga 0.0000 0.0000 0.0000  0.00
4 P 0.5000 0.0000 0.0000  -0.02
5 In 0.0000 0.5000 0.0000  0.00

Calculated values
Its calculated density is 4443 kg/m3. As for the energy relative to the lowest polymorph listed for this composition: 0.000 eV per atom. The calculated volume comes out at 114 Å³/cell. The value obtained for the total DFT energy (no corrections) is -3.54 eV per atom.

***

# InGaCoP2

A relaxed InGaCoP2 crystal (PBE, Alexandria).

abc: 5.0652 4.8949 5.0652
angles: 90.00 90.00 90.00
Site moments in Bohr magnetons follow the coordinates.
Fractional positions:
1 P 0.0000 0.0000 0.5000  0.11
2 In 0.0000 0.0000 0.0000  -0.04
3 Co 0.0000 0.5000 0.0000  1.83
4 P 0.5000 0.0000 0.0000  0.15
5 Ga 0.5000 0.5000 0.5000  0.01

Calculated values
Its calculated density is 4039 kg/m3. As for the energy relative to the lowest polymorph listed for this composition: 0.063 eV per atom. The calculated volume comes out at 126 Å³/cell. The value obtained for the total DFT energy (no corrections) is -3.48 eV per atom.